# 1
VASP calculation (PBE-GGA) on a relaxed La3Pr12Sm crystal.

Unit cell a=5.2553 b=5.2553 c=20.9909 alpha=90.00 beta=90.00 gamma=90.00
Atoms (fractional coordinates):
Pr (0.5000, 0.5000, 0.0000)
Pr (0.0000, 0.5000, 0.8766)
Pr (0.5000, 0.5000, 0.5000)
Pr (0.5000, 0.0000, 0.3746)
Pr (0.5000, 0.5000, 0.7516)
Pr (0.5000, 0.5000, 0.2484)
Pr (0.0000, 0.5000, 0.3746)
Pr (0.5000, 0.0000, 0.1234)
Pr (0.0000, 0.5000, 0.6254)
Pr (0.0000, 0.5000, 0.1234)
Pr (0.5000, 0.0000, 0.6254)
Pr (0.5000, 0.0000, 0.8766)
La (0.0000, 0.0000, 0.5000)
La (0.0000, 0.0000, 0.7507)
La (0.0000, 0.0000, 0.2493)
Sm (0.0000, 0.0000, 0.0000)

Values from the calculation:
**D(E_F)**: 26.903 states/eV/cell
**E_form**: 1 kJ per mole of atoms
**Volume**: 36.23 Å³/atom
**Space-group type**: P4/mmm
**E**: -76.7 eV per cell



# 2
VASP calculation (PBE-GGA) on a relaxed La2Pr2Sm3 crystal.

Unit cell a=6.4035 b=6.4035 c=9.7902 alpha=70.41 beta=123.51 gamma=131.94
Atoms (fractional coordinates):
La (0.1428, 0.5707, 0.7135)
La (0.8572, 0.4293, 0.2865)
Sm (0.7138, 0.8566, 0.5705)
Sm (0.2862, 0.1434, 0.4295)
Sm (0.0000, 0.0000, 0.0000)
Pr (0.4300, 0.7137, 0.1437)
Pr (0.5700, 0.2863, 0.8563)

Values from the calculation:
**D(E_F)**: 12.577 states/eV/cell
**E_form**: 2 kJ per mole of atoms
**Distance to the lowest polymorph of the same formula**: 0.0000 eV per atom
**Volume**: 35.51 Å³/atom
**Space-group type**: C2/m
**E**: -33.4 eV per cell



# 3
VASP calculation (PBE-GGA) on a relaxed La6PrSm12 crystal.

Unit cell a=9.0101 b=9.7142 c=9.7142 alpha=69.11 beta=71.99 gamma=108.01
Atoms (fractional coordinates):
Sm (0.5274, 0.8423, 0.2621)
Sm (0.7375, 0.5808, 0.3680)
Sm (0.7895, 0.2621, 0.8956)
Sm (0.2625, 0.4192, 0.6320)
Sm (0.4726, 0.1577, 0.7379)
Sm (0.3150, 0.1044, 0.1577)
Sm (0.8946, 0.6320, 0.9488)
Sm (0.6850, 0.8956, 0.8423)
Sm (0.1566, 0.0512, 0.5808)
Sm (0.1054, 0.3680, 0.0512)
Sm (0.2105, 0.7379, 0.1044)
Sm (0.8434, 0.9488, 0.4192)
La (0.6312, 0.2098, 0.3145)
La (0.9457, 0.3145, 0.4757)
La (0.4214, 0.4757, 0.2098)
La (0.3688, 0.7902, 0.6855)
La (0.5786, 0.5243, 0.7902)
La (0.0543, 0.6855, 0.5243)
Pr (0.0000, 0.0000, 0.0000)

Values from the calculation:
**D(E_F)**: 32.004 states/eV/cell
**E_form**: 2 kJ per mole of atoms
**Distance to the lowest polymorph of the same formula**: 0.0000 eV per atom
**Volume**: 35.05 Å³/atom
**Space-group type**: R-3
**E**: -90.6 eV per cell



# 4
VASP calculation (PBE-GGA) on a relaxed La8PrSm3 crystal.

Unit cell a=8.8941 b=8.8941 c=8.8941 alpha=96.57 beta=100.37 gamma=134.88
Atoms (fractional coordinates):
Sm (0.0000, 0.5000, 0.5000)
Sm (0.5000, 0.2333, 0.7333)
Sm (0.5000, 0.7667, 0.2667)
La (0.1666, 0.7497, 0.9164)
La (0.8334, 0.7498, 0.5831)
La (0.4971, 0.2235, 0.2740)
La (0.5029, 0.7769, 0.7264)
La (0.8332, 0.2502, 0.0836)
La (0.1668, 0.2503, 0.4169)
La (0.9495, 0.2231, 0.7260)
La (0.0505, 0.7765, 0.2736)
Pr (0.0000, 0.0000, 0.0000)

Values from the calculation:
**D(E_F)**: 20.646 states/eV/cell
**E_form**: 28 kJ per mole of atoms
**Volume**: 38.33 Å³/atom
**Space-group type**: Immm
**E**: -54.9 eV per cell



# 5
VASP calculation (PBE-GGA) on a relaxed La3Pr3Sm5 crystal.

Unit cell a=5.6809 b=9.8013 c=9.8013 alpha=120.00 beta=90.00 gamma=90.00
Atoms (fractional coordinates):
Sm (0.5000, 0.6346, 0.6346)
Sm (0.5000, 0.6667, 0.3333)
Sm (0.5000, 0.3333, 0.6667)
Sm (0.5000, 0.3654, 0.0000)
Sm (0.5000, 0.0000, 0.3654)
Pr (0.5000, 0.2711, 0.2711)
Pr (0.5000, 0.7289, 0.0000)
Pr (0.5000, 0.0000, 0.7289)
La (0.0000, 0.0000, 0.5917)
La (0.0000, 0.4083, 0.4083)
La (0.0000, 0.5917, 0.0000)

Values from the calculation:
**D(E_F)**: 19.157 states/eV/cell
**E_form**: 64 kJ per mole of atoms
**Distance to the lowest polymorph of the same formula**: 0.0000 eV per atom
**Volume**: 42.97 Å³/atom
**Space-group type**: P-62m
**E**: -45.5 eV per cell



# 6
VASP calculation (PBE-GGA) on a relaxed LaPr5Sm5 crystal.

Unit cell a=6.1715 b=10.1226 c=7.1247 alpha=110.44 beta=90.00 gamma=107.75
Last column: magnetic moment on the atom in μB.
Atoms (fractional coordinates):
Sm (0.3758, 0.7515, 0.3749)  -0.01
Sm (0.6242, 0.2485, 0.6251)  -0.01
Sm (0.0000, 0.0000, 0.5000)  -0.01
Sm (0.6710, 0.3420, 0.1718)  0.00
Sm (0.3290, 0.6580, 0.8282)  0.00
Pr (0.8249, 0.6498, 0.5819)  0.00
Pr (0.8251, 0.6502, 0.0687)  0.00
Pr (0.1751, 0.3502, 0.4181)  0.00
Pr (0.5000, 0.0000, 0.0000)  0.10
Pr (0.1749, 0.3498, 0.9313)  0.00
La (0.0000, 0.0000, 0.0000)  0.09

Values from the calculation:
**D(E_F)**: 18.518 states/eV/cell
**E_form**: 22 kJ per mole of atoms
**Distance to the lowest polymorph of the same formula**: 0.0883 eV per atom
**Volume**: 35.85 Å³/atom
**Space-group type**: C2/m
**E**: -49.9 eV per cell



# 7
VASP calculation (PBE-GGA) on a relaxed La4Pr4Sm crystal.

Unit cell a=6.4346 b=6.4421 c=16.1836 alpha=70.68 beta=62.40 gamma=33.54
Atoms (fractional coordinates):
La (0.2762, 0.8898, 0.5561)
La (0.7238, 0.1102, 0.4439)
La (0.6134, 0.5545, 0.2205)
La (0.3866, 0.4455, 0.7795)
Pr (0.9430, 0.2240, 0.8905)
Pr (0.1684, 0.3329, 0.3319)
Pr (0.0570, 0.7760, 0.1095)
Pr (0.8316, 0.6671, 0.6681)
Sm (0.5000, 0.0000, 0.0000)

Values from the calculation:
**D(E_F)**: 15.835 states/eV/cell
**E_form**: 1 kJ per mole of atoms
**Volume**: 36.26 Å³/atom
**Space-group type**: P-1
**E**: -43.4 eV per cell



# 8
VASP calculation (PBE-GGA) on a relaxed La3Pr5Sm3 crystal.

Unit cell a=3.4996 b=11.5654 c=11.5654 alpha=120.00 beta=90.00 gamma=90.00
Atoms (fractional coordinates):
Pr (0.5000, 0.3381, 0.0000)
Pr (0.5000, 0.0000, 0.3381)
Pr (0.5000, 0.6667, 0.3333)
Pr (0.5000, 0.6619, 0.6619)
Pr (0.5000, 0.3333, 0.6667)
Sm (0.5000, 0.1592, 0.1592)
Sm (0.5000, 0.8408, 0.0000)
Sm (0.5000, 0.0000, 0.8408)
La (0.0000, 0.3986, 0.3986)
La (0.0000, 0.6014, 0.0000)
La (0.0000, 0.0000, 0.6014)

Values from the calculation:
**D(E_F)**: 18.794 states/eV/cell
**E_form**: 27 kJ per mole of atoms
**Distance to the lowest polymorph of the same formula**: 0.0000 eV per atom
**Volume**: 36.85 Å³/atom
**Space-group type**: P-62m
**E**: -49.7 eV per cell



Repeat the seventh record exactly.
VASP calculation (PBE-GGA) on a relaxed La4Pr4Sm crystal.

Unit cell a=6.4346 b=6.4421 c=16.1836 alpha=70.68 beta=62.40 gamma=33.54
Atoms (fractional coordinates):
La (0.2762, 0.8898, 0.5561)
La (0.7238, 0.1102, 0.4439)
La (0.6134, 0.5545, 0.2205)
La (0.3866, 0.4455, 0.7795)
Pr (0.9430, 0.2240, 0.8905)
Pr (0.1684, 0.3329, 0.3319)
Pr (0.0570, 0.7760, 0.1095)
Pr (0.8316, 0.6671, 0.6681)
Sm (0.5000, 0.0000, 0.0000)

Values from the calculation:
**D(E_F)**: 15.835 states/eV/cell
**E_form**: 1 kJ per mole of atoms
**Volume**: 36.26 Å³/atom
**Space-group type**: P-1
**E**: -43.4 eV per cell



Q: The lowest E belongs to which entry?
A: La6PrSm12



Q: Look up the volume of the second one.
A: 35.51 Å³/atom